Entry 1:
## Pa4As2RuS (PBE)

Data for a geometry-optimized Pa4As2RuS structure.

Values from the calculation:
Spin magnetization ... 0.0 μB per formula unit
Formation energy (no corrections) ... -7.98 eV per formula unit

a b c (Å): 6.997 3.914 7.088
angles (deg): 90.00 108.41 90.00
Space group P2/m (No. 10)
One atom of each set of equivalent atoms:
1 Pa 0.239 0.000 0.231 [2 per cell]
2 Pa 0.254 0.500 0.766 [2 per cell]
3 As 0.000 0.000 0.500 [1 per cell]
4 As 0.500 0.500 0.500 [1 per cell]
5 Ru 0.000 0.500 0.000 [1 per cell]
6 S 0.500 0.000 0.000 [1 per cell]

***

Entry 2:
## Pa4AsRuS2 (PBE)

Data for a geometry-optimized Pa4AsRuS2 structure.

Values from the calculation:
Spin magnetization ... 0.0 μB per formula unit
Formation energy (no corrections) ... -8.87 eV per formula unit

a b c (Å): 6.903 3.847 7.046
angles (deg): 90.00 107.85 90.00
Space group P2/m (No. 10)
One atom of each set of equivalent atoms:
1 Pa 0.242 0.000 0.236 [2 per cell]
2 Pa 0.252 0.500 0.763 [2 per cell]
3 As 0.500 0.500 0.500 [1 per cell]
4 Ru 0.500 0.000 0.000 [1 per cell]
5 S 0.000 0.000 0.500 [1 per cell]
6 S 0.000 0.500 0.000 [1 per cell]

***

Entry 3:
## PaSbAs2Ru5 (PBE)

Data for a geometry-optimized PaSbAs2Ru5 structure.

Values from the calculation:
Spin magnetization ... 0.0 μB per formula unit
Formation energy (no corrections) ... -0.26 eV per formula unit

a b c (Å): 3.973 3.973 11.081
angles (deg): 90.00 90.00 90.00
Space group P4/mmm (No. 123)
One atom of each set of equivalent atoms:
1 Pa 0.000 0.000 0.000 [1 per cell]
2 Sb 0.000 0.000 0.500 [1 per cell]
3 As 0.500 0.500 0.218 [2 per cell]
4 Ru 0.000 0.500 0.341 [4 per cell]
5 Ru 0.500 0.500 0.000 [1 per cell]

***

Entry 4:
## Pa2Sb2AsRu4 (PBE)

Data for a geometry-optimized Pa2Sb2AsRu4 structure.

Values from the calculation:
Spin magnetization ... 0.0 μB per formula unit
Formation energy (no corrections) ... -1.14 eV per formula unit

a b c (Å): 6.312 6.312 9.221
angles (deg): 90.00 90.00 90.00
Space group I4/mmm (No. 139)
One atom of each set of equivalent atoms:
1 Pa 0.000 0.000 0.195 [4 per cell]
2 Sb 0.000 0.500 0.250 [4 per cell]
3 As 0.000 0.000 0.500 [2 per cell]
4 Ru 0.225 0.225 0.000 [8 per cell]

***

Entry 5:
## PaAsRuSe (PBE)

Data for a geometry-optimized PaAsRuSe structure.

Values from the calculation:
Spin magnetization ... 0.0 μB per formula unit
Formation energy (no corrections) ... -3.52 eV per formula unit

a b c (Å): 4.243 4.243 8.653
angles (deg): 90.00 90.00 90.00
Space group P4/nmm (No. 129, origin choice 2)
One atom of each set of equivalent atoms:
1 Pa 0.250 0.250 0.235 [2 per cell]
2 As 0.250 0.250 0.660 [2 per cell]
3 Ru 0.250 0.750 0.500 [2 per cell]
4 Se 0.250 0.750 0.000 [2 per cell]

***

Entry 6:
## Pa3Si2AsRu9 (PBE)

Data for a geometry-optimized Pa3Si2AsRu9 structure.

Values from the calculation:
Spin magnetization ... 0.2 μB per formula unit
Formation energy (no corrections) ... -1.70 eV per formula unit

a b c (Å): 6.6241 6.6241 7.1217
angles (deg): 90.00 90.00 120.00
Space group P-3m1 (No. 164)
One atom of each set of equivalent atoms:
1 Pa 0.0000 0.0000 0.0000 [1 per cell]
2 Pa 0.3333 0.6667 0.6698 [2 per cell]
3 Si 0.3333 0.6667 0.1524 [2 per cell]
4 As 0.0000 0.0000 0.5000 [1 per cell]
5 Ru 0.0000 0.5000 0.0000 [3 per cell]
6 Ru 0.1870 0.3741 0.3633 [6 per cell]

***

Entry 7:
## PaSnAs2Ru5 (PBE)

Data for a geometry-optimized PaSnAs2Ru5 structure.

Values from the calculation:
Spin magnetization ... 1.0 μB per formula unit
Formation energy from the elements ... -0.284 eV per atom

a b c (Å): 4.209 4.209 8.486
angles (deg): 90.00 90.00 90.00
Space group P4/mmm (No. 123)
One atom of each set of equivalent atoms:
1 Pa 0.000 0.000 0.000 [1 per cell]
2 Sn 0.000 0.000 0.500 [1 per cell]
3 As 0.500 0.500 0.146 [2 per cell]
4 Ru 0.000 0.500 0.282 [4 per cell]
5 Ru 0.500 0.500 0.500 [1 per cell]

***

Entry 8:
## Pa2Sn2AsRu4 (PBE)

Data for a geometry-optimized Pa2Sn2AsRu4 structure.

Values from the calculation:
Spin magnetization ... 0.0 μB per formula unit
Formation energy from the elements ... -0.103 eV per atom

a b c (Å): 6.359 6.359 9.056
angles (deg): 90.00 90.00 90.00
Space group I4/mmm (No. 139)
One atom of each set of equivalent atoms:
1 Pa 0.000 0.000 0.193 [4 per cell]
2 Sn 0.000 0.500 0.250 [4 per cell]
3 As 0.000 0.000 0.500 [2 per cell]
4 Ru 0.227 0.227 0.000 [8 per cell]